(1)
An optimized crystal structure of TlAuSe4, computed with GGA-PBE.

Unit cell a=5.8611 b=5.8611 c=5.8611 alpha=60.00 beta=60.00 gamma=60.00
Last column: nearest neighbours and their distance in Å.
Sites, in units of the cell vectors:
Tl (0.7500, 0.7500, 0.7500)  12 Se 3.44, 4 Au 3.59
Au (0.0000, 0.0000, 0.0000)  12 Se 3.43, 4 Tl 3.59
Se (0.8794, 0.3735, 0.3735)  6 Se 2.90-2.97
Se (0.3735, 0.3735, 0.8794)  6 Se 2.90-2.97
Se (0.3735, 0.8794, 0.3735)  6 Se 2.90-2.97
Se (0.3735, 0.3735, 0.3735)  6 Se 2.90-2.97

Results
DOS at the Fermi energy = 0.601 states/eV per atom
E above lowest polymorph = 446 meV per atom
ΔE_f (raw) = 0.4160 eV per atom


(2)
An optimized crystal structure of GdI, computed with GGA-PBE.

Unit cell a=3.9883 b=3.9883 c=10.1728 alpha=67.13 beta=90.00 gamma=90.00
Last column: nearest neighbours and their distance in Å.
Sites, in units of the cell vectors:
I (0.2500, 0.9506, 0.8022)  4 Gd 3.28
I (0.7500, 0.0494, 0.1978)  4 Gd 3.28
Gd (0.2500, 0.3733, 0.3754)  4 I 3.28, 4 Gd 3.66
Gd (0.7500, 0.6267, 0.6246)  4 I 3.28, 4 Gd 3.66

Results
DOS at the Fermi energy = 1.388 states/eV per atom
ΔE_f (raw) = -0.8750 eV per atom


(3)
An optimized crystal structure of GaH3Ru, computed with GGA-PBE.

Unit cell a=2.9879 b=4.2816 c=7.4637 alpha=90.00 beta=101.55 gamma=90.00
Last column: nearest neighbours and their distance in Å.
Sites, in units of the cell vectors:
Ga (0.9353, 0.2500, 0.8705)  6 H 2.52-2.53, 6 Ru 2.64-2.74
Ga (0.0647, 0.7500, 0.1295)  6 H 2.52-2.53, 6 Ru 2.64-2.74
H (0.6797, 0.0211, 0.3594)  1 Ru 1.61
H (0.3203, 0.9789, 0.6406)  1 Ru 1.61
H (0.3203, 0.5211, 0.6406)  1 Ru 1.61
H (0.6797, 0.4789, 0.3594)  1 Ru 1.61
H (0.1554, 0.2500, 0.3108)  2 Ru 1.76, 4 H 1.82
H (0.8446, 0.7500, 0.6892)  2 Ru 1.76, 4 H 1.82
Ru (0.5924, 0.2500, 0.1848)  4 H 1.61-1.76
Ru (0.4076, 0.7500, 0.8152)  4 H 1.61-1.76

Results
DOS at the Fermi energy = 0.141 states/eV per atom
E above lowest polymorph = 0 meV per atom